(1)
First-principles (PBE-GGA) data for an optimized crystal structure of Mg2TcHg, as listed in Alexandria via LeMat-Bulk.

abc: 4.690 4.690 4.690
angles: 60.00 60.00 60.00
Each line ends with the local moment (μB).
Positions (direct):
Mg (0.000, 0.000, 0.000)  0.00
Mg (0.250, 0.250, 0.250)  -0.01
Hg (0.500, 0.500, 0.500)  0.00
Tc (0.750, 0.750, 0.750)  0.53

Output
DFT formation energy	1.3	eV/f.u.
SG	F-43m, No. 216

***

(2)
First-principles (PBE-GGA) data for an optimized crystal structure of Nb2AlV3, as listed in Alexandria via LeMat-Bulk.

abc: 4.929 4.929 5.234
angles: 90.00 118.05 120.05
Positions (direct):
V (0.500, 0.000, 0.500)
V (0.500, 0.500, 0.500)
V (0.000, 0.000, 0.500)
Nb (0.749, 0.374, 0.123)
Nb (0.251, 0.626, 0.877)
Al (0.000, 0.000, 0.000)

Output
DFT formation energy	-0.9	eV/f.u.
SG	R-3m, No. 166

***

Values for mass density, g/cm3, ordered as above
7.9; 6.6